# Na3Ce2CoS6, optimized geometry, DFT PBE
# M_tot: 2.64 μB per formula unit
# Total energy: -127.2 eV/cell
# E_form (uncorrected): -1.32 eV/atom
# DOS(E_F): 19.465 states/eV per cell
data_Na3Ce2CoS6
_space_group_name_H-M_alt 'C 1 2/m 1'
_space_group_IT_number 12
_cell_length_a 6.7443
_cell_length_b 11.7053
_cell_length_c 7.0575
_cell_angle_alpha 90.00
_cell_angle_beta 108.60
_cell_angle_gamma 90.00
loop_
_space_group_symop_operation_xyz
'x,y,z'
'-x,-y,-z'
'-x,y,-z'
'x,-y,z'
'x+1/2,y+1/2,z'
'-x+1/2,-y+1/2,-z'
'-x+1/2,y+1/2,-z'
'x+1/2,-y+1/2,z'
loop_
_atom_site_label
_atom_site_fract_x
_atom_site_fract_y
_atom_site_fract_z
Na1 0.0000 0.0000 0.0000
Na2 0.0000 0.3336 0.0000
Ce1 0.0000 0.1667 0.5000
Co1 0.0000 0.5000 0.5000
S1 0.2325 0.3419 0.7232
S2 0.2406 0.5000 0.2800